A plane-wave DFT calculation with PBE-GGA was carried out for a geometry-optimized In2AsPt structure.

```
4
Lattice="4.4090 0.0000 0.0000 0.0000 4.7798 0.0000 0.0000 0.0000 3.8707" Properties=species:S:1:pos:R:3 pbc="T T T"
As 0.0000 2.3899 1.9354
Pt 2.2045 0.0000 1.9354
In 0.0000 0.0000 0.0000
In 2.2045 2.3899 0.0000
```

Computed properties:
energy of formation: 1 kJ per mole of atoms
final energy: -4.0287 eV per atom